[1]
Density functional theory data (PBE) for a geometry-optimized InCuP2Cl structure.

Computed properties:
**Space-group type**: No. 123
**Density of states at the Fermi level**: 3.67 states/eV/f.u.
**ΔE_f (raw)**: 410 meV/atom
**Offset from the most stable computed form**: 0 meV per atom

a b c (Å): 4.4326 4.4326 5.4507
angles (deg): 90.00 90.00 90.00
Sites, in units of the cell vectors:
In 0.0000 0.0000 0.0000
Cu 0.5000 0.5000 0.5000
P 0.0000 0.5000 0.5000
P 0.5000 0.0000 0.5000
Cl 0.5000 0.5000 0.0000

[2]
Density functional theory data (PBE) for a geometry-optimized YRhPb2 structure.

Computed properties:
**Space-group type**: No. 8
**Density of states at the Fermi level**: 1.48 states/eV/f.u.
**Energy**: -5.57 eV/atom

a b c (Å): 11.6052 3.6003 5.1911
angles (deg): 90.00 113.32 90.00
Sites, in units of the cell vectors:
Y 0.0000 0.0000 0.0000
Y 0.5000 0.5000 0.0000
Rh 0.2034 0.5000 0.1049
Rh 0.7034 0.0000 0.1049
Pb 0.1970 0.0000 0.6679
Pb 0.4082 0.0000 0.4162
Pb 0.6970 0.5000 0.6679
Pb 0.9082 0.5000 0.4162

[3]
Density functional theory data (PBE) for a geometry-optimized Cs2GaAsSe4 structure.

Computed properties:
**Space-group type**: No. 70
**ΔE_f (raw)**: -756 meV/atom

a b c (Å): 14.7587 13.1487 8.0911
angles (deg): 84.46 62.47 33.07
Sites, in units of the cell vectors:
Cs 0.0548 0.0548 0.6952
Cs 0.3048 0.3048 0.9452
Cs 0.6952 0.6952 0.0548
Cs 0.9452 0.9452 0.3048
Ga 0.3750 0.3750 0.3750
Ga 0.6250 0.6250 0.6250
As 0.1250 0.1250 0.1250
As 0.8750 0.8750 0.8750
Se 0.0044 0.3528 0.4338
Se 0.2910 0.5662 0.6472
Se 0.3528 0.0044 0.7090
Se 0.4338 0.7090 0.0044
Se 0.5662 0.2910 0.9956
Se 0.6472 0.9956 0.2910
Se 0.7090 0.4338 0.3528
Se 0.9956 0.6472 0.5662